Compound: TmHfRe
Source: the Open Quantum Materials Database
Functional: GGA-PBE
Structure: relaxed

Values from the calculation:
The calculation puts the calculated total energy at -7.654 eV per atom. Its space-group type is No. 216.

Unit cell a=4.5957 b=4.5957 c=4.5957 alpha=60.00 beta=60.00 gamma=60.00
Last column: nearest neighbours and their distance in Å.
Sites, in units of the cell vectors:
Re1 0.7500 0.7500 0.7500  4 Tm 2.81
Hf1 0.2500 0.2500 0.2500  4 Tm 2.81
Tm1 0.0000 0.0000 0.0000  4 Hf 2.81, 4 Re 2.81

***

Compound: HfURe
Source: the Open Quantum Materials Database
Functional: GGA-PBE
Structure: relaxed

Values from the calculation:
The calculation puts the calculated total energy at -10.872 eV per atom. For the polymorph energy (0 for the lowest one), the calculation gives 0 meV/atom. Its space-group type is No. 216.

Unit cell a=4.6105 b=4.6105 c=4.6105 alpha=60.00 beta=60.00 gamma=60.00
Last column: nearest neighbours and their distance in Å.
Sites, in units of the cell vectors:
Re1 0.2500 0.2500 0.2500  4 Hf 2.82, 4 U 2.82
U1 0.5000 0.5000 0.5000  4 Re 2.82
Hf1 0.0000 0.0000 0.0000  4 Re 2.82

***

Compound: HfURe
Source: the Open Quantum Materials Database
Functional: GGA-PBE
Structure: relaxed

Values from the calculation:
The calculation puts the calculated total energy at -10.241 eV per atom. For the polymorph energy (0 for the lowest one), the calculation gives 631 meV/atom. Its space-group type is No. 216.

Unit cell a=4.5000 b=4.5000 c=4.5000 alpha=60.00 beta=60.00 gamma=60.00
Last column: nearest neighbours and their distance in Å.
Sites, in units of the cell vectors:
U1 0.0000 0.0000 0.0000  4 Hf 2.76, 4 Re 2.76
Hf1 0.2500 0.2500 0.2500  4 U 2.76
Re1 0.7500 0.7500 0.7500  4 U 2.76

***

Compound: HfReW
Source: the Open Quantum Materials Database
Functional: GGA-PBE
Structure: relaxed

Values from the calculation:
The calculation puts the calculated total energy at -12.069 eV per atom. For the polymorph energy (0 for the lowest one), the calculation gives 0 meV/atom. Its space-group type is No. 38.

Unit cell a=8.6705 b=5.3360 c=5.3360 alpha=60.19 beta=90.00 gamma=90.00
Last column: nearest neighbours and their distance in Å.
Sites, in units of the cell vectors:
Hf1 0.8122 0.6665 0.6665  5 W 3.10-3.13, 7 Re 3.10-3.13, 4 Hf 3.25-3.26
Hf2 0.6907 0.3332 0.3332  5 Re 3.07-3.15, 7 W 3.13-3.15, 4 Hf 3.25-3.31
Hf3 0.3093 0.3332 0.3332  5 Re 3.07-3.15, 7 W 3.13-3.15, 4 Hf 3.25-3.31
Hf4 0.1878 0.6665 0.6665  5 W 3.10-3.13, 7 Re 3.10-3.13, 4 Hf 3.25-3.26
Re1 0.0000 0.1722 0.6554  4 Re 2.58-2.77, 2 W 2.65
Re2 0.0000 0.6554 0.1722  4 Re 2.58-2.77, 2 W 2.65
Re3 0.5000 0.8302 0.8302  6 W 2.61-2.73
Re4 0.0000 0.1725 0.1725  4 Re 2.58-2.76, 2 W 2.66
W1 0.7549 0.9988 0.9988  4 Re 2.65-2.70, 2 W 2.72
W2 0.5000 0.8319 0.3402  2 Re 2.61-2.73, 4 W 2.63-2.72
W3 0.2451 0.9988 0.9988  4 Re 2.65-2.70, 2 W 2.72
W4 0.5000 0.3402 0.8319  2 Re 2.61-2.73, 4 W 2.63-2.72

***

Compound: HfRe2W
Source: the Open Quantum Materials Database
Functional: GGA-PBE
Structure: relaxed

Values from the calculation:
The calculation puts the calculated total energy at -11.995 eV per atom. Its space-group type is No. 216.

Unit cell a=4.5157 b=4.5157 c=4.5157 alpha=60.00 beta=60.00 gamma=60.00
Last column: nearest neighbours and their distance in Å.
Sites, in units of the cell vectors:
Re1 0.2500 0.2500 0.2500  4 Hf 2.77, 4 Re 2.77
Re2 0.0000 0.0000 0.0000  4 W 2.77, 4 Re 2.77
Hf1 0.5000 0.5000 0.5000  4 Re 2.77, 4 W 2.77
W1 0.7500 0.7500 0.7500  4 Re 2.77, 4 Hf 2.77

***

Compound: HfReW
Source: the Open Quantum Materials Database
Functional: GGA-PBE
Structure: relaxed

Values from the calculation:
The calculation puts the calculated total energy at -11.421 eV per atom. For the polymorph energy (0 for the lowest one), the calculation gives 649 meV/atom. Its space-group type is No. 216.

Unit cell a=4.4020 b=4.4020 c=4.4020 alpha=60.00 beta=60.00 gamma=60.00
Last column: nearest neighbours and their distance in Å.
Sites, in units of the cell vectors:
W1 0.7500 0.7500 0.7500  4 Re 2.70
Hf1 0.2500 0.2500 0.2500  4 Re 2.70
Re1 0.0000 0.0000 0.0000  4 W 2.70, 4 Hf 2.70

***

Compound: HfReW2
Source: the Open Quantum Materials Database
Functional: GGA-PBE
Structure: relaxed

Values from the calculation:
The calculation puts the calculated total energy at -12.186 eV per atom. Its space-group type is No. 216.

Unit cell a=4.5499 b=4.5499 c=4.5499 alpha=60.00 beta=60.00 gamma=60.00
Last column: nearest neighbours and their distance in Å.
Sites, in units of the cell vectors:
Re1 0.5000 0.5000 0.5000  4 W 2.79, 4 Hf 2.79
W1 0.0000 0.0000 0.0000  4 Hf 2.79, 4 W 2.79
W2 0.7500 0.7500 0.7500  4 Re 2.79, 4 W 2.79
Hf1 0.2500 0.2500 0.2500  4 Re 2.79, 4 W 2.79

***

Compound: YHf2Re
Source: the Open Quantum Materials Database
Functional: GGA-PBE
Structure: relaxed

Values from the calculation:
The calculation puts the calculated total energy at -9.424 eV per atom. Its space-group type is No. 216.

Unit cell a=4.9091 b=4.9091 c=4.9091 alpha=60.00 beta=60.00 gamma=60.00
Last column: nearest neighbours and their distance in Å.
Sites, in units of the cell vectors:
Re1 0.5000 0.5000 0.5000  4 Hf 3.01, 4 Y 3.01
Y1 0.2500 0.2500 0.2500  4 Re 3.01, 4 Hf 3.01
Hf1 0.0000 0.0000 0.0000  4 Hf 3.01, 4 Y 3.01
Hf2 0.7500 0.7500 0.7500  4 Hf 3.01, 4 Re 3.01

***

Compound: YHfRe2
Source: the Open Quantum Materials Database
Functional: GGA-PBE
Structure: relaxed

Values from the calculation:
The calculation puts the calculated total energy at -10.085 eV per atom. Its space-group type is No. 216.

Unit cell a=4.6915 b=4.6915 c=4.6915 alpha=60.00 beta=60.00 gamma=60.00
Last column: nearest neighbours and their distance in Å.
Sites, in units of the cell vectors:
Y1 0.7500 0.7500 0.7500  4 Re 2.87, 4 Hf 2.87
Hf1 0.5000 0.5000 0.5000  4 Re 2.87, 4 Y 2.87
Re1 0.0000 0.0000 0.0000  4 Y 2.87, 4 Re 2.87
Re2 0.2500 0.2500 0.2500  4 Hf 2.87, 4 Re 2.87

***

Compound: HfZnRe2
Source: the Open Quantum Materials Database
Functional: GGA-PBE
Structure: relaxed

Values from the calculation:
The calculation puts the calculated total energy at -8.934 eV per atom. Its space-group type is No. 216.

Unit cell a=4.4821 b=4.4821 c=4.4821 alpha=60.00 beta=60.00 gamma=60.00
Last column: nearest neighbours and their distance in Å.
Sites, in units of the cell vectors:
Re1 0.7500 0.7500 0.7500  4 Zn 2.74, 4 Re 2.74
Re2 0.0000 0.0000 0.0000  4 Hf 2.74, 4 Re 2.74
Zn1 0.5000 0.5000 0.5000  4 Hf 2.74, 4 Re 2.74
Hf1 0.2500 0.2500 0.2500  4 Zn 2.74, 4 Re 2.74

***

Compound: HfZnRe2
Source: the Open Quantum Materials Database
Functional: GGA-PBE
Structure: relaxed

Values from the calculation:
The calculation puts the calculated total energy at -8.935 eV per atom. Its space-group type is No. 216.

Unit cell a=4.4881 b=4.4881 c=4.4881 alpha=60.00 beta=60.00 gamma=60.00
Last column: nearest neighbours and their distance in Å.
Sites, in units of the cell vectors:
Re1 0.7500 0.7500 0.7500  4 Hf 2.75, 4 Re 2.75
Re2 0.0000 0.0000 0.0000  4 Re 2.75, 4 Zn 2.75
Hf1 0.5000 0.5000 0.5000  4 Zn 2.75, 4 Re 2.75
Zn1 0.2500 0.2500 0.2500  4 Hf 2.75, 4 Re 2.75

***

Compound: HfZrRe
Source: the Open Quantum Materials Database
Functional: GGA-PBE
Structure: relaxed

Values from the calculation:
The calculation puts the calculated total energy at -10.244 eV per atom. For the polymorph energy (0 for the lowest one), the calculation gives 0 meV/atom. Its space-group type is No. 216.

Unit cell a=4.5478 b=4.5478 c=4.5478 alpha=60.00 beta=60.00 gamma=60.00
Last column: nearest neighbours and their distance in Å.
Sites, in units of the cell vectors:
Hf1 0.2500 0.2500 0.2500  4 Re 2.78
Zr1 0.7500 0.7500 0.7500  4 Re 2.78
Re1 0.0000 0.0000 0.0000  4 Hf 2.78, 4 Zr 2.78

***

Number 1: calculated volume 22.9 Å³ per atom, ΔE_f 1.30 eV/atom. Number 2: calculated volume 23.1 Å³ per atom, ΔE_f 0.35 eV/atom. Number 3: calculated volume 21.5 Å³ per atom, ΔE_f 0.98 eV/atom. Number 4: calculated volume 17.8 Å³ per atom, ΔE_f -0.29 eV/atom. Number 5: calculated volume 16.3 Å³ per atom, ΔE_f -0.05 eV/atom. Number 6: calculated volume 20.1 Å³ per atom, ΔE_f 0.36 eV/atom. Number 7: calculated volume 16.7 Å³ per atom, ΔE_f -0.11 eV/atom. Number 8: calculated volume 20.9 Å³ per atom, ΔE_f 0.28 eV/atom. Number 9: calculated volume 18.3 Å³ per atom, ΔE_f 0.23 eV/atom. Number 10: calculated volume 15.9 Å³ per atom, ΔE_f 0.08 eV/atom. Number 11: calculated volume 16.0 Å³ per atom, ΔE_f 0.08 eV/atom. Number 12: calculated volume 22.2 Å³ per atom, ΔE_f 0.06 eV/atom.